! ZrIr2Rh, optimized geometry, DFT PBEsol; values from VASP
! D(E_F) = 3.5 states/eV/f.u.
! Formation energy = -0.41 eV/atom
&SYSTEM
  ibrav = 0, nat = 4, ntyp = 3
/
ATOMIC_SPECIES
Zr 91.22 Zr.upf
Ir 192.22 Ir.upf
Rh 102.91 Rh.upf
ATOMIC_POSITIONS angstrom
Zr 0.0000 0.0000 0.0000
Ir 1.6198 0.0000 3.3819
Ir 4.1537 0.0000 2.3802
Rh 6.6818 0.0000 1.1896
CELL_PARAMETERS angstrom
4.5825 -1.4201 0.0000
4.5825 1.4201 0.0000
-0.8775 0.0000 4.7192

! Cs2KBiCl6, optimized geometry, DFT PBEsol; values from VASP
! D(E_F) = 0.0 states/eV/f.u.
! E_form (uncorrected) = -1613 meV/atom
&SYSTEM
  ibrav = 0, nat = 10, ntyp = 4
/
ATOMIC_SPECIES
Cs 132.91 Cs.upf
K 39.10 K.upf
Bi 208.98 Bi.upf
Cl 35.45 Cl.upf
ATOMIC_POSITIONS angstrom
Cs 2.8083 2.8083 2.8083
Cs 8.4248 8.4248 8.4248
K 0.0000 0.0000 0.0000
Bi 5.6165 5.6165 5.6165
Cl 5.6165 5.6165 2.9337
Cl 5.6165 2.9337 5.6165
Cl 8.2993 5.6165 5.6165
Cl 2.9337 5.6165 5.6165
Cl 5.6165 8.2993 5.6165
Cl 5.6165 5.6165 8.2993
CELL_PARAMETERS angstrom
0.0000 5.6165 5.6165
5.6165 0.0000 5.6165
5.6165 5.6165 0.0000

| no. | E_tot (eV per atom) |
| --- | --- |
| 1 | -9.6290 |
| 2 | -3.5478 |